This record from Alexandria via LeMat-Bulk describes a geometry-optimized PmV2PdO8 structure. The functional is PBE with a Hubbard U.

abc: 5.654 5.654 6.542
angles: 90.00 90.00 120.00
Element x y z (fractional)
Pm  0.000  0.000  0.000
V  0.333  0.667  0.222
V  0.667  0.333  0.778
Pd  0.000  0.000  0.500
O  0.158  0.316  0.286
O  0.158  0.842  0.286
O  0.316  0.158  0.714
O  0.333  0.667  0.967
O  0.667  0.333  0.033
O  0.684  0.842  0.286
O  0.842  0.158  0.714
O  0.842  0.684  0.714

DOS(E_F) = 5.24 states/eV/cell
electronic total energy = -7.167 eV/atom
space-group type = No. 164
total magnetic moment = 1.02 μB/f.u.